# HfB3F

An optimized crystal structure of HfB3F (PBE-GGA, Alexandria via LeMat-Bulk).

Properties
E_form (uncorrected): 0.90 eV/atom
DOS at the Fermi energy: 1.17 states/eV per cell
raw total energy: -5.47 eV per atom

abc: 3.7485 3.7485 3.7485
angles: 90.00 90.00 90.00
Last column: nearest neighbours and their distance in Å.
Element x y z (fractional)
1 B 0.0000 0.5000 0.0000  2 F 1.87
2 B 0.0000 0.0000 0.5000  2 F 1.87
3 B 0.5000 0.0000 0.0000  2 F 1.87
4 Hf 0.5000 0.5000 0.5000  12 B 2.65
5 F 0.0000 0.0000 0.0000  6 B 1.87